# 1
Density functional theory data (GGA-PBE) for a relaxed structure of ScTl2BiCl.

## Properties
spin magnetization	1.03	Bohr magnetons per cell
ΔE_f (raw)	262	meV/atom
N(E_F)	0.908	states/eV per atom

Unit cell a=5.6062 b=5.6062 c=5.4558 alpha=90.00 beta=90.00 gamma=90.00
Atoms (fractional coordinates):
Sc  0.0000  0.0000  0.0000
Tl  0.0000  0.5000  0.5000
Tl  0.5000  0.0000  0.5000
Bi  0.5000  0.5000  0.0000
Cl  0.5000  0.5000  0.5000

***

# 2
Density functional theory data (GGA-PBE) for a relaxed structure of Sc2VBiCl.

## Properties
spin magnetization	0.00	Bohr magnetons per cell
excess energy over the best structure of this formula in the dataset	4.71	kcal/mol of atoms
ΔE_f (raw)	38	meV/atom
N(E_F)	1.086	states/eV per atom

Unit cell a=5.2596 b=5.2596 c=4.2946 alpha=90.00 beta=90.00 gamma=90.00
Atoms (fractional coordinates):
Sc  0.0000  0.5000  0.0000
Sc  0.5000  0.0000  0.0000
V  0.0000  0.0000  0.0000
Bi  0.5000  0.5000  0.5000
Cl  0.0000  0.0000  0.5000

***

# 3
Density functional theory data (GGA-PBE) for a relaxed structure of Sc2VBiCl.

## Properties
spin magnetization	2.27	Bohr magnetons per cell
excess energy over the best structure of this formula in the dataset	0.00	kcal/mol of atoms
ΔE_f (raw)	-166	meV/atom
N(E_F)	1.259	states/eV per atom

Unit cell a=4.8751 b=4.8751 c=4.4532 alpha=90.00 beta=90.00 gamma=90.00
Atoms (fractional coordinates):
Sc  0.0000  0.5000  0.0000
Sc  0.5000  0.0000  0.0000
V  0.0000  0.0000  0.5000
Bi  0.5000  0.5000  0.5000
Cl  0.0000  0.0000  0.0000

***

# 4
Density functional theory data (GGA-PBE) for a relaxed structure of BiSe3Cl.

## Properties
spin magnetization	3.91	Bohr magnetons per cell
excess energy over the best structure of this formula in the dataset	0.57	kcal/mol of atoms
ΔE_f (raw)	632	meV/atom
N(E_F)	2.652	states/eV per atom

Unit cell a=5.6480 b=5.6480 c=5.6480 alpha=90.00 beta=90.00 gamma=90.00
Atoms (fractional coordinates):
Bi  0.0000  0.0000  0.0000
Se  0.0000  0.0000  0.5000
Se  0.0000  0.5000  0.0000
Se  0.5000  0.0000  0.0000
Cl  0.5000  0.5000  0.5000

***

# 5
Density functional theory data (GGA-PBE) for a relaxed structure of BiSeCl2.

## Properties
spin magnetization	0.00	Bohr magnetons per cell
excess energy over the best structure of this formula in the dataset	7.63	kcal/mol of atoms
ΔE_f (raw)	-89	meV/atom
N(E_F)	0.617	states/eV per atom

Unit cell a=9.8703 b=9.8703 c=9.8703 alpha=20.40 beta=20.40 gamma=20.40
Atoms (fractional coordinates):
Bi  0.0000  0.0000  0.0000
Se  0.5000  0.5000  0.5000
Cl  0.4155  0.4155  0.4155
Cl  0.5845  0.5845  0.5845

***

# 6
Density functional theory data (GGA-PBE) for a relaxed structure of Bi2SeCl.

## Properties
spin magnetization	0.00	Bohr magnetons per cell
excess energy over the best structure of this formula in the dataset	4.08	kcal/mol of atoms
ΔE_f (raw)	-88	meV/atom
N(E_F)	0.559	states/eV per atom

Unit cell a=5.2649 b=5.2649 c=5.2649 alpha=60.00 beta=60.00 gamma=60.00
Atoms (fractional coordinates):
Bi  0.2500  0.2500  0.2500
Bi  0.7500  0.7500  0.7500
Se  0.0000  0.0000  0.0000
Cl  0.5000  0.5000  0.5000

***

# 7
Density functional theory data (GGA-PBE) for a relaxed structure of Bi2SeCl.

## Properties
spin magnetization	0.00	Bohr magnetons per cell
excess energy over the best structure of this formula in the dataset	1.39	kcal/mol of atoms
ΔE_f (raw)	-205	meV/atom
N(E_F)	0.534	states/eV per atom

Unit cell a=6.7391 b=6.7391 c=6.7391 alpha=105.54 beta=105.54 gamma=117.66
Atoms (fractional coordinates):
Bi  0.1120  0.1250  0.4870
Bi  0.3750  0.8880  0.0130
Bi  0.6380  0.6250  0.5130
Bi  0.8750  0.3620  0.9870
Se  0.0000  0.0000  0.0000
Se  0.7500  0.2500  0.5000
Cl  0.2500  0.7500  0.5000
Cl  0.5000  0.5000  0.0000

***

# 8
Density functional theory data (GGA-PBE) for a relaxed structure of BiSe2Cl2.

## Properties
spin magnetization	0.00	Bohr magnetons per cell
ΔE_f (raw)	-475	meV/atom

Unit cell a=8.1140 b=8.1140 c=7.8014 alpha=98.52 beta=98.52 gamma=128.06
Atoms (fractional coordinates):
Bi  0.1668  0.8332  0.0000
Bi  0.8332  0.1668  0.0000
Se  0.0975  0.0975  0.2641
Se  0.2879  0.2879  0.0767
Se  0.7121  0.7121  0.9233
Se  0.9025  0.9025  0.7359
Cl  0.9997  0.4474  0.7728
Cl  0.0003  0.5526  0.2272
Cl  0.4474  0.9997  0.7728
Cl  0.5526  0.0003  0.2272